1.
DFT (PBE) results for a geometry-optimized MnAg5 structure.

Lattice parameters (Å, degrees): 4.788 7.697 7.697 21.73 90.00 90.00
Fractional positions:
Mn  0.000  0.000  0.000
Ag  0.000  0.336  0.336
Ag  0.000  0.664  0.664
Ag  0.500  0.223  0.223
Ag  0.500  0.555  0.555
Ag  0.500  0.891  0.891

Values from the calculation:
For the energy above the most stable polymorph in this dataset, the calculation gives 0.0 kJ/mol of atoms. The energy is -3.7669 eV/atom. The energy of formation is 0.137 eV/atom.

=====

2.
DFT (PBE) results for a geometry-optimized Mn2Ag structure.

Lattice parameters (Å, degrees): 2.817 2.817 6.816 90.00 90.00 120.00
Fractional positions:
Mn  0.333  0.667  0.154
Mn  0.667  0.333  0.846
Ag  0.000  0.000  0.500

Values from the calculation:
The energy is -6.6476 eV/atom. The energy of formation is 0.416 eV/atom.

=====

3.
DFT (PBE) results for a geometry-optimized Mn2Ag structure.

Lattice parameters (Å, degrees): 5.184 5.184 5.184 105.29 105.29 118.20
Fractional positions:
Mn  0.151  0.651  0.801
Mn  0.349  0.151  0.500
Mn  0.651  0.849  0.500
Mn  0.849  0.349  0.199
Ag  0.250  0.250  0.000
Ag  0.750  0.750  0.000

Values from the calculation:
The energy is -6.3869 eV/atom. The energy of formation is 0.677 eV/atom.

=====

4.
DFT (PBE) results for a geometry-optimized MnAgMo2 structure.

Lattice parameters (Å, degrees): 5.059 5.059 2.674 90.00 90.00 115.53
Fractional positions:
Mn  0.000  0.000  0.000
Ag  0.500  0.500  0.000
Mo  0.000  0.500  0.500
Mo  0.500  0.000  0.500

Values from the calculation:
For the energy above the most stable polymorph in this dataset, the calculation gives 15.4 kJ/mol of atoms. The energy is -7.9879 eV/atom. The energy of formation is 0.433 eV/atom.

=====

5.
DFT (PBE) results for a geometry-optimized MnAgMo2 structure.

Lattice parameters (Å, degrees): 5.220 5.220 5.220 143.52 132.00 61.75
Fractional positions:
Mn  0.000  0.000  0.000
Ag  0.500  0.500  0.000
Mo  0.237  0.737  0.500
Mo  0.763  0.263  0.500

Values from the calculation:
For the energy above the most stable polymorph in this dataset, the calculation gives 15.3 kJ/mol of atoms. The energy is -7.9887 eV/atom. The energy of formation is 0.432 eV/atom.

=====

6.
DFT (PBE) results for a geometry-optimized Mn3AgMo structure.

Lattice parameters (Å, degrees): 4.609 4.609 4.609 90.00 90.00 90.00
Fractional positions:
Mn  0.000  0.000  0.500
Mn  0.000  0.500  0.000
Mn  0.500  0.000  0.000
Ag  0.500  0.500  0.500
Mo  0.000  0.000  0.000

Values from the calculation:
For the energy above the most stable polymorph in this dataset, the calculation gives 0.0 kJ/mol of atoms. The energy is -6.9625 eV/atom. The energy of formation is 1.276 eV/atom.

=====

7.
DFT (PBE) results for a geometry-optimized MnAgMo2 structure.

Lattice parameters (Å, degrees): 2.693 4.157 5.519 90.00 98.06 90.00
Fractional positions:
Mn  0.000  0.000  0.000
Ag  0.000  0.000  0.500
Mo  0.452  0.500  0.223
Mo  0.548  0.500  0.777

Values from the calculation:
For the energy above the most stable polymorph in this dataset, the calculation gives 11.0 kJ/mol of atoms. The energy is -8.0341 eV/atom. The energy of formation is 0.387 eV/atom.

=====

8.
DFT (PBE) results for a geometry-optimized MnAgMo2 structure.

Lattice parameters (Å, degrees): 10.215 10.215 10.215 159.04 159.04 29.82
Fractional positions:
Mn  0.000  0.000  0.000
Mn  0.750  0.250  0.500
Ag  0.250  0.750  0.500
Ag  0.500  0.500  0.000
Mo  0.107  0.625  0.982
Mo  0.375  0.357  0.482
Mo  0.643  0.125  0.018
Mo  0.875  0.893  0.518

Values from the calculation:
For the energy above the most stable polymorph in this dataset, the calculation gives 51.0 kJ/mol of atoms. The energy is -7.6194 eV/atom. The energy of formation is 0.801 eV/atom.

=====

9.
DFT (PBE) results for a geometry-optimized MnAgMo2 structure.

Lattice parameters (Å, degrees): 2.758 3.888 5.667 90.00 90.00 90.00
Fractional positions:
Mn  0.000  0.000  0.000
Ag  0.000  0.000  0.500
Mo  0.500  0.500  0.218
Mo  0.500  0.500  0.782

Values from the calculation:
For the energy above the most stable polymorph in this dataset, the calculation gives 12.6 kJ/mol of atoms. The energy is -8.0167 eV/atom. The energy of formation is 0.404 eV/atom.

=====

10.
DFT (PBE) results for a geometry-optimized MnAgMo2 structure.

Lattice parameters (Å, degrees): 4.471 4.471 4.471 60.00 60.00 60.00
Fractional positions:
Mn  0.000  0.000  0.000
Ag  0.250  0.250  0.250
Mo  0.500  0.500  0.500
Mo  0.750  0.750  0.750

Values from the calculation:
For the energy above the most stable polymorph in this dataset, the calculation gives 23.2 kJ/mol of atoms. The energy is -7.9072 eV/atom. The energy of formation is 0.514 eV/atom.

=====

11.
DFT (PBE) results for a geometry-optimized MnAg4Mo structure.

Lattice parameters (Å, degrees): 5.383 5.383 5.383 60.00 60.00 60.00
Fractional positions:
Mn  0.000  0.000  0.000
Ag  0.375  0.375  0.375
Ag  0.375  0.375  0.875
Ag  0.375  0.875  0.375
Ag  0.875  0.375  0.375
Mo  0.750  0.750  0.750

Values from the calculation:
The energy is -4.5897 eV/atom. The energy of formation is 0.645 eV/atom.

=====

12.
DFT (PBE) results for a geometry-optimized MnAgMo2 structure.

Lattice parameters (Å, degrees): 4.404 4.404 4.404 60.00 60.00 60.00
Fractional positions:
Mn  0.000  0.000  0.000
Ag  0.500  0.500  0.500
Mo  0.250  0.250  0.250
Mo  0.750  0.750  0.750

Values from the calculation:
For the energy above the most stable polymorph in this dataset, the calculation gives 43.2 kJ/mol of atoms. The energy is -7.7000 eV/atom. The energy of formation is 0.721 eV/atom.

=====

13.
DFT (PBE) results for a geometry-optimized MnAg3Mo structure.

Lattice parameters (Å, degrees): 4.652 4.652 4.652 90.00 90.00 90.00
Fractional positions:
Mn  0.000  0.000  0.000
Ag  0.000  0.000  0.500
Ag  0.000  0.500  0.000
Ag  0.500  0.000  0.000
Mo  0.500  0.500  0.500

Values from the calculation:
For the energy above the most stable polymorph in this dataset, the calculation gives 21.8 kJ/mol of atoms. The energy is -3.7445 eV/atom. The energy of formation is 1.966 eV/atom.

=====

14.
DFT (PBE) results for a geometry-optimized MnAgMo2 structure.

Lattice parameters (Å, degrees): 4.808 4.808 5.090 96.37 96.37 32.31
Fractional positions:
Mn  0.000  0.000  0.000
Ag  0.748  0.748  0.239
Mo  0.257  0.257  0.750
Mo  0.498  0.498  0.506

Values from the calculation:
For the energy above the most stable polymorph in this dataset, the calculation gives 16.6 kJ/mol of atoms. The energy is -7.9760 eV/atom. The energy of formation is 0.445 eV/atom.

=====

15.
DFT (PBE) results for a geometry-optimized MnAg3Mo structure.

Lattice parameters (Å, degrees): 5.123 5.123 5.123 90.00 90.00 90.00
Fractional positions:
Mn  0.000  0.000  0.000
Ag  0.000  0.500  0.500
Ag  0.500  0.000  0.500
Ag  0.500  0.500  0.000
Mo  0.500  0.500  0.500

Values from the calculation:
For the energy above the most stable polymorph in this dataset, the calculation gives 0.0 kJ/mol of atoms. The energy is -3.9700 eV/atom. The energy of formation is 1.741 eV/atom.

=====

16.
DFT (PBE) results for a geometry-optimized MnAgMo2 structure.

Lattice parameters (Å, degrees): 2.660 2.660 8.630 90.00 90.00 90.00
Fractional positions:
Mn  0.000  0.000  0.000
Ag  0.000  0.000  0.500
Mo  0.500  0.500  0.230
Mo  0.500  0.500  0.770

Values from the calculation:
For the energy above the most stable polymorph in this dataset, the calculation gives 7.9 kJ/mol of atoms. The energy is -8.0661 eV/atom. The energy of formation is 0.355 eV/atom.

=====

17.
DFT (PBE) results for a geometry-optimized MnAgMo2 structure.

Lattice parameters (Å, degrees): 2.664 4.448 5.310 90.00 97.43 90.00
Fractional positions:
Mn  0.000  0.000  0.000
Ag  0.126  0.500  0.730
Mo  0.496  0.000  0.467
Mo  0.702  0.500  0.218

Values from the calculation:
For the energy above the most stable polymorph in this dataset, the calculation gives 10.9 kJ/mol of atoms. The energy is -8.0346 eV/atom. The energy of formation is 0.386 eV/atom.

=====

18.
DFT (PBE) results for a geometry-optimized MnAgMo2 structure.

Lattice parameters (Å, degrees): 9.463 9.463 9.463 16.62 16.62 16.62
Fractional positions:
Mn  0.000  0.000  0.000
Ag  0.500  0.500  0.500
Mo  0.259  0.259  0.259
Mo  0.741  0.741  0.741

Values from the calculation:
For the energy above the most stable polymorph in this dataset, the calculation gives 13.3 kJ/mol of atoms. The energy is -8.0097 eV/atom. The energy of formation is 0.411 eV/atom.

=====

19.
DFT (PBE) results for a geometry-optimized MnAgMo2 structure.

Lattice parameters (Å, degrees): 3.206 3.206 6.203 90.00 90.00 90.00
Fractional positions:
Mn  0.000  0.000  0.000
Ag  0.500  0.500  0.750
Mo  0.000  0.000  0.457
Mo  0.500  0.500  0.235

Values from the calculation:
For the energy above the most stable polymorph in this dataset, the calculation gives 7.4 kJ/mol of atoms. The energy is -8.0707 eV/atom. The energy of formation is 0.350 eV/atom.

=====

20.
DFT (PBE) results for a geometry-optimized MnAgMo2 structure.

Lattice parameters (Å, degrees): 9.349 9.349 9.349 17.35 17.35 17.35
Fractional positions:
Mn  0.000  0.000  0.000
Ag  0.249  0.249  0.249
Mo  0.492  0.492  0.492
Mo  0.741  0.741  0.741

Values from the calculation:
For the energy above the most stable polymorph in this dataset, the calculation gives 16.5 kJ/mol of atoms. The energy is -7.9766 eV/atom. The energy of formation is 0.444 eV/atom.

=====

21.
DFT (PBE) results for a geometry-optimized MnAgMo2 structure.

Lattice parameters (Å, degrees): 5.058 5.058 5.058 141.28 127.08 67.47
Fractional positions:
Mn  0.000  0.000  0.000
Ag  0.738  0.238  0.500
Mo  0.241  0.741  0.500
Mo  0.466  0.466  0.000

Values from the calculation:
For the energy above the most stable polymorph in this dataset, the calculation gives 19.6 kJ/mol of atoms. The energy is -7.9449 eV/atom. The energy of formation is 0.476 eV/atom.

=====

22.
DFT (PBE) results for a geometry-optimized MnAgMo2 structure.

Lattice parameters (Å, degrees): 5.184 5.184 2.661 95.84 95.84 117.83
Fractional positions:
Mn  0.000  0.000  0.000
Ag  0.500  0.500  0.000
Mo  0.000  0.500  0.500
Mo  0.500  0.000  0.500

Values from the calculation:
For the energy above the most stable polymorph in this dataset, the calculation gives 14.8 kJ/mol of atoms. The energy is -7.9943 eV/atom. The energy of formation is 0.426 eV/atom.

=====

23.
DFT (PBE) results for a geometry-optimized MnAgMo2 structure.

Lattice parameters (Å, degrees): 2.680 2.680 8.795 90.00 90.00 105.72
Fractional positions:
Mn  0.000  0.000  0.000
Ag  0.000  0.000  0.500
Mo  0.500  0.500  0.225
Mo  0.500  0.500  0.775

Values from the calculation:
For the energy above the most stable polymorph in this dataset, the calculation gives 3.4 kJ/mol of atoms. The energy is -8.1124 eV/atom. The energy of formation is 0.308 eV/atom.

=====

24.
DFT (PBE) results for a geometry-optimized MnAgMo2 structure.

Lattice parameters (Å, degrees): 3.798 3.798 4.288 90.00 90.00 90.00
Fractional positions:
Mn  0.000  0.000  0.000
Ag  0.500  0.500  0.000
Mo  0.000  0.500  0.500
Mo  0.500  0.000  0.500

Values from the calculation:
For the energy above the most stable polymorph in this dataset, the calculation gives 13.9 kJ/mol of atoms. The energy is -8.0031 eV/atom. The energy of formation is 0.418 eV/atom.

=====

25.
DFT (PBE) results for a geometry-optimized MnAgMo2 structure.

Lattice parameters (Å, degrees): 4.753 4.753 4.753 129.43 129.43 74.32
Fractional positions:
Mn  0.000  0.000  0.000
Ag  0.750  0.250  0.500
Mo  0.250  0.750  0.500
Mo  0.500  0.500  0.000

Values from the calculation:
For the energy above the most stable polymorph in this dataset, the calculation gives 20.6 kJ/mol of atoms. The energy is -7.9339 eV/atom. The energy of formation is 0.487 eV/atom.

=====

26.
DFT (PBE) results for a geometry-optimized MnAgMo2 structure.

Lattice parameters (Å, degrees): 2.723 2.723 8.955 90.00 90.00 108.42
Fractional positions:
Mn  0.000  0.000  0.000
Ag  0.500  0.500  0.746
Mo  0.000  0.000  0.474
Mo  0.500  0.500  0.228

Values from the calculation:
For the energy above the most stable polymorph in this dataset, the calculation gives 0.0 kJ/mol of atoms. The energy is -8.1476 eV/atom. The energy of formation is 0.273 eV/atom.

=====

27.
DFT (PBE) results for a geometry-optimized MnAgMo2 structure.

Lattice parameters (Å, degrees): 4.797 4.797 4.797 132.21 132.21 69.89
Fractional positions:
Mn  0.000  0.000  0.000
Ag  0.500  0.500  0.000
Mo  0.250  0.750  0.500
Mo  0.750  0.250  0.500

Values from the calculation:
For the energy above the most stable polymorph in this dataset, the calculation gives 24.0 kJ/mol of atoms. The energy is -7.8985 eV/atom. The energy of formation is 0.522 eV/atom.

=====

28.
DFT (PBE) results for a geometry-optimized MnNb2AgMo structure.

Lattice parameters (Å, degrees): 4.708 4.708 5.032 90.00 90.00 90.00
Fractional positions:
Mn  0.000  0.000  0.000
Nb  0.000  0.500  0.500
Nb  0.500  0.000  0.500
Ag  0.500  0.500  0.000
Mo  0.500  0.500  0.500

Values from the calculation:
The energy is -6.7588 eV/atom. The energy of formation is 1.839 eV/atom.